No. 1
Material: K3Zn2Cl8
Method: DFT, PBE
State: relaxed

electronic total energy: -2.972 eV/atom
density of states at the Fermi level: 16.73 states/eV/cell
calculated volume: 29.5 Å³/atom
theoretical density: 2303 kg/m3
space-group type: R-3m, No. 166
ΔE_f (raw): -1.39 eV/atom

Cell lengths 9.8232, 9.8232, 9.8232 Å; angles 41.97, 41.97, 41.97 degrees
Last column: nearest neighbours and their distance in Å.
Positions (direct):
K (0.0000, 0.0000, 0.0000)  6 Cl 3.36
K (0.2045, 0.2045, 0.2045)  4 Cl 3.09-3.38
K (0.7955, 0.7955, 0.7955)  4 Cl 3.09-3.38
Zn (0.4033, 0.4033, 0.4033)  4 Cl 2.24-2.28
Zn (0.5967, 0.5967, 0.5967)  4 Cl 2.24-2.28
Cl (0.2186, 0.7380, 0.7380)  1 Zn 2.28
Cl (0.2620, 0.2620, 0.7814)  1 Zn 2.28
Cl (0.2620, 0.7814, 0.2620)  1 Zn 2.28
Cl (0.3197, 0.3197, 0.3197)  1 Zn 2.24
Cl (0.6803, 0.6803, 0.6803)  1 Zn 2.24
Cl (0.7380, 0.2186, 0.7380)  1 Zn 2.28
Cl (0.7380, 0.7380, 0.2186)  1 Zn 2.28
Cl (0.7814, 0.2620, 0.2620)  1 Zn 2.28



No. 2
Material: LiCr2RhI
Method: DFT, PBE
State: relaxed

electronic total energy: -4.972 eV/atom
density of states at the Fermi level: 5.64 states/eV/cell
calculated volume: 18.9 Å³/atom
theoretical density: 5989 kg/m3
space-group type: P4/mmm, No. 123
ΔE_f (raw): 1.04 eV/atom

Cell lengths 4.7303, 4.7303, 4.2222 Å; angles 90.00, 90.00, 90.00 degrees
Last column: nearest neighbours and their distance in Å.
Positions (direct):
Li (0.0000, 0.0000, 0.0000)  2 Rh 2.11
Cr (0.0000, 0.5000, 0.0000)  2 Li 2.37
Cr (0.5000, 0.0000, 0.0000)  2 Li 2.37
Rh (0.0000, 0.0000, 0.5000)  2 Li 2.11
I (0.5000, 0.5000, 0.5000)  8 Cr 3.17, 4 Rh 3.34



No. 3
Material: Na2ScI5
Method: DFT, PBE
State: relaxed

electronic total energy: -3.286 eV/atom
density of states at the Fermi level: 0.00 states/eV/cell
calculated volume: 42.0 Å³/atom
theoretical density: 3583 kg/m3
space-group type: C2, No. 5
ΔE_f (raw): -1.20 eV/atom

Cell lengths 7.8479, 7.8479, 9.4931 Å; angles 126.19, 126.19, 49.12 degrees
Last column: nearest neighbours and their distance in Å.
Positions (direct):
Na (0.2031, 0.2031, 0.2880)  6 I 3.16-3.31
Na (0.7969, 0.7969, 0.7120)  6 I 3.16-3.31
Sc (0.9461, 0.0539, 0.5000)  5 I 2.78-2.90
I (0.0917, 0.0403, 0.8483)  1 Sc 2.84, 1 Na 3.16
I (0.2582, 0.2553, 0.6766)  1 Sc 2.90, 1 Na 3.24
I (0.5197, 0.4803, 0.5000)  1 Sc 2.78
I (0.7447, 0.7418, 0.3234)  1 Sc 2.90, 1 Na 3.24
I (0.9597, 0.9083, 0.1517)  1 Sc 2.84, 1 Na 3.16



No. 4
Material: Be3CrGe
Method: DFT, PBE
State: relaxed

electronic total energy: -3.710 eV/atom
E_form: 1374 meV/atom
density of states at the Fermi level: 7.83 states/eV/cell
calculated volume: 13.7 Å³/atom
theoretical density: 3676 kg/m3
space-group type: Pm-3m, No. 221

Cell lengths 4.0920, 4.0920, 4.0920 Å; angles 90.00, 90.00, 90.00 degrees
Last column: nearest neighbours and their distance in Å.
Positions (direct):
Be (0.0000, 0.0000, 0.5000)  2 Ge 2.05
Be (0.0000, 0.5000, 0.0000)  2 Ge 2.05
Be (0.5000, 0.0000, 0.0000)  2 Ge 2.05
Cr (0.5000, 0.5000, 0.5000)  12 Be 2.89
Ge (0.0000, 0.0000, 0.0000)  6 Be 2.05